Record 1
VASP calculation (PBEsol) on a relaxed structure of TlBiOsCl2.

Values from the calculation:
Energy relative to the elements, uncorrected in meV/atom: 505
E_tot in eV per atom: -4.125
Total moment in Bohr magnetons per cell: 0.3

```
TlBiOsCl2
1.0
4.5908 0.0000 0.0000
0.0000 4.5908 0.0000
0.0000 0.0000 5.6969
Tl Bi Os Cl
1 1 1 2
Direct
0.0000 0.0000 0.0000 Tl
0.5000 0.5000 0.0000 Bi
0.0000 0.0000 0.5000 Os
0.0000 0.5000 0.5000 Cl
0.5000 0.0000 0.5000 Cl
```



Record 2
VASP calculation (PBEsol) on a relaxed structure of TlAu.

Values from the calculation:
E_form in eV per formula unit: 0.149
E_tot in eV per atom: -3.203
Total moment in Bohr magnetons per cell: 0.0

```
TlAu
1.0
3.9747 0.0000 0.0000
-1.9873 3.4422 0.0000
0.0000 0.0000 10.4220
Tl Au
3 3
Direct
0.0000 0.0000 0.0000 Tl
0.3333 0.6667 0.6667 Tl
0.6667 0.3333 0.3333 Tl
0.0000 0.0000 0.5000 Au
0.3333 0.6667 0.1667 Au
0.6667 0.3333 0.8333 Au
```



Record 3
VASP calculation (PBEsol) on a relaxed structure of RbPd3Ru.

Values from the calculation:
E_form in eV per formula unit: 4.679
E_tot in eV per atom: -4.879
Total moment in Bohr magnetons per cell: 0.6

```
RbPd3Ru
1.0
4.8380 0.0000 0.0000
0.0000 4.8380 0.0000
0.0000 0.0000 4.8380
Rb Pd Ru
1 3 1
Direct
0.0000 0.0000 0.0000 Rb
0.0000 0.5000 0.5000 Pd
0.5000 0.0000 0.5000 Pd
0.5000 0.5000 0.0000 Pd
0.5000 0.5000 0.5000 Ru
```



Record 4
VASP calculation (PBEsol) on a relaxed structure of CdFe2Pt.

Values from the calculation:
E_form in eV per formula unit: 0.349
E_tot in eV per atom: -6.435
Total moment in Bohr magnetons per cell: 5.7

```
CdFe2Pt
1.0
2.7061 0.0000 0.0000
0.0000 3.8291 0.0000
0.0000 0.0000 5.5159
Cd Fe Pt
1 2 1
Direct
0.0000 0.0000 0.0000 Cd
0.5000 0.5000 0.2730 Fe
0.5000 0.5000 0.7270 Fe
0.0000 0.0000 0.5000 Pt
```



Record 5
VASP calculation (PBEsol) on a relaxed structure of GaGeTe.

Values from the calculation:
Energy relative to the elements, uncorrected in meV/atom: -211
E_tot in eV per atom: -4.146
Total moment in Bohr magnetons per cell: 0.0

```
GaGeTe
1.0
2.0220 1.1674 11.5659
-2.0220 1.1674 11.5659
0.0000 -2.3348 11.5659
Ga Ge Te
2 2 2
Direct
0.2482 0.2482 0.2482 Ga
0.7518 0.7518 0.7518 Ga
0.1782 0.1782 0.1782 Ge
0.8218 0.8218 0.8218 Ge
0.3818 0.3818 0.3818 Te
0.6182 0.6182 0.6182 Te
```



Record 6
VASP calculation (PBEsol) on a relaxed structure of Rb4Sn2Au7.

Values from the calculation:
E_form in eV per formula unit: -3.648
E_tot in eV per atom: -3.364
Total moment in Bohr magnetons per cell: 0.0

```
Rb4Sn2Au7
1.0
3.3900 1.9572 9.6401
-3.3900 1.9572 9.6401
0.0000 -3.9145 9.6401
Rb Sn Au
4 2 7
Direct
0.1841 0.1841 0.1841 Rb
0.3123 0.3123 0.3123 Rb
0.6877 0.6877 0.6877 Rb
0.8159 0.8159 0.8159 Rb
0.0496 0.0496 0.0496 Sn
0.9504 0.9504 0.9504 Sn
0.2878 0.2878 0.6930 Au
0.2878 0.6930 0.2878 Au
0.3070 0.7122 0.7122 Au
0.5000 0.5000 0.5000 Au
0.6930 0.2878 0.2878 Au
0.7122 0.3070 0.7122 Au
0.7122 0.7122 0.3070 Au
```



Record 7
VASP calculation (PBEsol) on a relaxed structure of Li2Pt3.

Values from the calculation:
E_form in eV per formula unit: -2.225
E_tot in eV per atom: -5.410
Total moment in Bohr magnetons per cell: 0.0

```
Li2Pt3
1.0
2.6895 0.0000 0.0000
-1.3448 2.3292 0.0000
0.0000 0.0000 33.0595
Li Pt
6 9
Direct
0.0000 0.0000 0.1009 Li
0.0000 0.0000 0.8991 Li
0.3333 0.6667 0.5657 Li
0.3333 0.6667 0.7676 Li
0.6667 0.3333 0.2324 Li
0.6667 0.3333 0.4343 Li
0.0000 0.0000 0.2954 Pt
0.0000 0.0000 0.5000 Pt
0.0000 0.0000 0.7046 Pt
0.3333 0.6667 0.1667 Pt
0.3333 0.6667 0.3713 Pt
0.3333 0.6667 0.9620 Pt
0.6667 0.3333 0.0380 Pt
0.6667 0.3333 0.6287 Pt
0.6667 0.3333 0.8333 Pt
```



Record 8
VASP calculation (PBEsol) on a relaxed structure of MgGeO2F.

Values from the calculation:
Energy relative to the elements, uncorrected in meV/atom: -1410
E_tot in eV per atom: -5.226
Total moment in Bohr magnetons per cell: 1.0

```
MgGeO2F
1.0
3.9184 0.0000 0.0000
0.0000 3.9184 0.0000
0.0000 0.0000 3.7319
Mg Ge O F
1 1 2 1
Direct
0.0000 0.0000 0.0000 Mg
0.5000 0.5000 0.5000 Ge
0.0000 0.5000 0.0000 O
0.5000 0.0000 0.0000 O
0.0000 0.0000 0.5000 F
```